First-principles (GGA-PBE) data for Tm6ZnP2Se3 after structural relaxation, as listed in the Alexandria database.

Summary:
E_form (uncorrected)	-1.4588	eV/atom
E	-0.205	Ha/atom

a b c (Å): 3.9464 8.1420 9.0048
angles (deg): 103.57 102.66 90.00
With the nearest neighbours (Å) after each atom.
Sites, in units of the cell vectors:
Tm (0.0041, 0.2492, 0.0082)  1 P 2.78, 2 Zn 2.82, 3 Se 2.85-2.95
Tm (0.9959, 0.7508, 0.9918)  1 P 2.78, 2 Zn 2.82, 3 Se 2.85-2.95
Tm (0.6646, 0.0960, 0.3292)  2 P 2.77, 1 Zn 2.81, 3 Se 2.84-2.94
Tm (0.6724, 0.5713, 0.3448)  3 P 2.74, 3 Se 2.91-2.94
Tm (0.3276, 0.4287, 0.6552)  3 P 2.74, 3 Se 2.91-2.94
Tm (0.3354, 0.9040, 0.6708)  2 P 2.77, 1 Zn 2.81, 3 Se 2.84-2.94
P (0.8328, 0.6645, 0.6657)  6 Tm 2.74-2.78
P (0.1672, 0.3355, 0.3343)  6 Tm 2.74-2.78
Se (0.8313, 0.1688, 0.6625)  6 Tm 2.84-2.95
Se (0.5000, 0.5000, 0.0000)  6 Tm 2.85-2.94
Se (0.1687, 0.8312, 0.3375)  6 Tm 2.84-2.95
Zn (0.5000, 0.0000, 0.0000)  6 Tm 2.81-2.82